1.
Density functional theory data (PBE) for a relaxed GaAs2Br crystal.

E_form (uncorrected) ... 331 meV per atom
SG ... No. 122
D(E_F) ... 0.253 states/eV/atom

a = 6.6727 Å, b = 6.6727 Å, c = 6.9644 Å
α = 61.38°, β = 61.38°, γ = 90.00°
Closest atoms and distances in Å follow each position.
Element x y z (fractional)
As (0.5728, 0.1250, 0.2500)  2 Ga 2.48
As (0.1772, 0.6250, 0.2500)  2 Ga 2.48
As (0.3750, 0.4272, 0.7500)  2 Ga 2.48
As (0.8750, 0.8228, 0.7500)  2 Ga 2.48
Ga (0.5000, 0.5000, 0.0000)  4 As 2.48
Ga (0.2500, 0.7500, 0.5000)  4 As 2.48
Br (0.0000, 0.0000, 0.0000)  4 As 2.91
Br (0.7500, 0.2500, 0.5000)  4 As 2.91

---

2.
Density functional theory data (PBE) for a relaxed YIrRu2 crystal.

SG ... No. 119
D(E_F) ... 1.395 states/eV/atom

a = 4.9804 Å, b = 4.9804 Å, c = 4.9804 Å
α = 132.00°, β = 132.00°, γ = 70.23°
Closest atoms and distances in Å follow each position.
Element x y z (fractional)
Ir (0.7500, 0.2500, 0.5000)  8 Ru 2.86-2.87, 4 Y 2.87
Ru (0.0000, 0.0000, 0.0000)  4 Y 2.86, 4 Ru 2.87, 4 Ir 2.87
Ru (0.2500, 0.7500, 0.5000)  4 Ir 2.86, 4 Ru 2.87, 4 Y 2.87
Y (0.5000, 0.5000, 0.0000)  8 Ru 2.86-2.87, 4 Ir 2.87

---

3.
Density functional theory data (PBE) for a relaxed ErMg2Pt9 crystal.

SG ... No. 123
D(E_F) ... 1.000 states/eV/atom

a = 4.0168 Å, b = 4.0168 Å, c = 11.9899 Å
α = 90.00°, β = 90.00°, γ = 90.00°
Closest atoms and distances in Å follow each position.
Element x y z (fractional)
Er (0.0000, 0.0000, 0.0000)  12 Pt 2.84-2.91
Mg (0.0000, 0.0000, 0.3392)  12 Pt 2.78-2.84
Mg (0.0000, 0.0000, 0.6608)  12 Pt 2.78-2.84
Pt (0.5000, 0.5000, 0.0000)  4 Er 2.84, 8 Pt 2.91
Pt (0.5000, 0.5000, 0.3371)  8 Pt 2.79-2.80, 4 Mg 2.84
Pt (0.5000, 0.5000, 0.6629)  8 Pt 2.79-2.80, 4 Mg 2.84
Pt (0.5000, 0.0000, 0.1757)  8 Pt 2.79-2.91, 2 Mg 2.81, 2 Er 2.91
Pt (0.5000, 0.0000, 0.5000)  4 Mg 2.78, 8 Pt 2.80-2.84
Pt (0.5000, 0.0000, 0.8243)  8 Pt 2.79-2.91, 2 Mg 2.81, 2 Er 2.91
Pt (0.0000, 0.5000, 0.1757)  8 Pt 2.79-2.91, 2 Mg 2.81, 2 Er 2.91
Pt (0.0000, 0.5000, 0.5000)  4 Mg 2.78, 8 Pt 2.80-2.84
Pt (0.0000, 0.5000, 0.8243)  8 Pt 2.79-2.91, 2 Mg 2.81, 2 Er 2.91

---

4.
Density functional theory data (PBE) for a relaxed KMgICl2 crystal.

E_form (uncorrected) ... -1614 meV per atom
SG ... No. 123
D(E_F) ... 0.000 states/eV/atom

a = 5.0227 Å, b = 5.0227 Å, c = 5.9553 Å
α = 90.00°, β = 90.00°, γ = 90.00°
Closest atoms and distances in Å follow each position.
Element x y z (fractional)
I (0.0000, 0.0000, 0.5000)  2 Mg 2.98
K (0.5000, 0.5000, 0.5000)  4 I 3.55, 8 Cl 3.90
Mg (0.0000, 0.0000, 0.0000)  4 Cl 2.51
Cl (0.0000, 0.5000, 0.0000)  2 Mg 2.51
Cl (0.5000, 0.0000, 0.0000)  2 Mg 2.51

---

In the order shown, the computed E values come out to -3.169; -8.437; -5.922; -3.201 eV per atom.